(1)
Compound: LaTe2
Source: Alexandria via LeMat-Bulk
Functional: GGA-PBE
Structure: relaxed

Cell lengths 7.054, 7.054, 8.036 Å; angles 90.00, 90.00, 90.00 degrees
Space group I4/mcm (No. 140)
Asymmetric unit:
La  0.000  0.000  0.250
Te  0.158  0.342  0.000

Spin magnetization, μB per cell: 0.00
Density, g cm⁻³: 6.5
Formation energy from raw total energies, meV/atom: -1223
Total energy, eV per atom: -4.960

=====

(2)
Compound: LaTe2
Source: Alexandria via LeMat-Bulk
Functional: GGA-PBE
Structure: relaxed

Cell lengths 6.713, 7.623, 4.777 Å; angles 90.00, 90.00, 90.00 degrees
Space group Pnnm (No. 58)
Asymmetric unit:
La  0.000  0.000  0.000
Te  0.200  0.388  0.000

Spin magnetization, μB per cell: 1.29
Density, g cm⁻³: 5.4
Formation energy from raw total energies, meV/atom: -1062
Total energy, eV per atom: -4.799

=====

(3)
Compound: La5Te
Source: Alexandria via LeMat-Bulk
Functional: GGA-PBE
Structure: relaxed

Cell lengths 12.211, 3.987, 8.929 Å; angles 90.00, 100.85, 90.00 degrees
Space group Cm (No. 8)
Asymmetric unit:
La  0.000  0.000  0.000
La  0.020  0.000  0.401
La  0.158  0.500  0.763
La  0.280  0.000  0.137
La  0.373  0.000  0.670
Te  0.238  0.500  0.413

Spin magnetization, μB per cell: 0.00
Density, g cm⁻³: 6.4
Formation energy from raw total energies, meV/atom: -429
Total energy, eV per atom: -5.058
Polymorph energy (0 for the lowest one), meV/atom: 0.0